Compound: Ce3CoB2Rh9
Source: Alexandria via LeMat-Bulk
Functional: PBE-GGA
Structure: relaxed

a = 5.8984 Å, b = 5.8984 Å, c = 8.0921 Å
α = 90.00°, β = 90.00°, γ = 120.00°
Closest atoms and distances in Å follow each position.
Fractional coordinates of all 15 atoms:
Ce (0.0000, 0.0000, 0.0000)  12 Rh 2.95-2.96
Ce (0.3333, 0.6667, 0.6498)  12 Rh 2.98-3.31
Ce (0.6667, 0.3333, 0.3502)  12 Rh 2.98-3.31
Co (0.0000, 0.0000, 0.5000)  6 Rh 2.38
B (0.3333, 0.6667, 0.1497)  6 Rh 2.06-2.09
B (0.6667, 0.3333, 0.8503)  6 Rh 2.06-2.09
Rh (0.0000, 0.5000, 0.0000)  2 B 2.09
Rh (0.1691, 0.3382, 0.2977)  1 B 2.06
Rh (0.1691, 0.8309, 0.2977)  1 B 2.06
Rh (0.3382, 0.1691, 0.7023)  1 B 2.06
Rh (0.5000, 0.0000, 0.0000)  2 B 2.09
Rh (0.5000, 0.5000, 0.0000)  2 B 2.09
Rh (0.6618, 0.8309, 0.2977)  1 B 2.06
Rh (0.8309, 0.1691, 0.7023)  1 B 2.06
Rh (0.8309, 0.6618, 0.7023)  1 B 2.06

Summary:
Density = 9.72 g/cm³
Space-group type = P-3m1
Volume = 16.25 Å³ per atom
Total magnetic moment = 3.6 μB/cell
Energy of formation = -52.8 kJ/mol of atoms

***

Compound: CeCoB2Rh5
Source: Alexandria via LeMat-Bulk
Functional: PBE-GGA
Structure: relaxed

a = 4.1518 Å, b = 4.1518 Å, c = 7.9052 Å
α = 90.00°, β = 90.00°, γ = 90.00°
Closest atoms and distances in Å follow each position.
Fractional coordinates of all 9 atoms:
Ce (0.0000, 0.0000, 0.0000)  12 Rh 2.94-3.06
Co (0.5000, 0.5000, 0.5000)  2 B 1.92
B (0.5000, 0.5000, 0.2577)  1 Co 1.92, 5 Rh 2.04-2.09
B (0.5000, 0.5000, 0.7423)  1 Co 1.92, 5 Rh 2.04-2.09
Rh (0.0000, 0.5000, 0.2839)  2 B 2.09
Rh (0.0000, 0.5000, 0.7161)  2 B 2.09
Rh (0.5000, 0.0000, 0.2839)  2 B 2.09
Rh (0.5000, 0.0000, 0.7161)  2 B 2.09
Rh (0.5000, 0.5000, 0.0000)  2 B 2.04

Summary:
Density = 8.96 g/cm³
Space-group type = P4/mmm
Volume = 15.14 Å³ per atom
Total magnetic moment = 2.9 μB/cell
Energy of formation = -21.3 kJ/mol of atoms

***

Compound: CeCoB2Ru
Source: Alexandria via LeMat-Bulk
Functional: PBE-GGA
Structure: relaxed

a = 5.4550 Å, b = 5.4550 Å, c = 5.4550 Å
α = 139.64°, β = 139.64°, γ = 58.41°
Closest atoms and distances in Å follow each position.
Fractional coordinates of all 5 atoms:
Ce (0.0000, 0.0000, 0.0000)  4 Co 3.03, 4 Ru 3.03, 10 B 3.04-3.28
Co (0.7500, 0.2500, 0.5000)  4 B 2.09
B (0.3448, 0.3448, 0.0000)  2 Co 2.09, 2 Ru 2.09
B (0.6552, 0.6552, 0.0000)  2 Co 2.09, 2 Ru 2.09
Ru (0.2500, 0.7500, 0.5000)  4 B 2.09

Summary:
Density = 7.92 g/cm³
Space-group type = I-4m2
Volume = 13.49 Å³ per atom
Total magnetic moment = 0.3 μB/cell
Energy of formation = -44.8 kJ/mol of atoms

***

Compound: CeCo6SiB
Source: Alexandria via LeMat-Bulk
Functional: PBE-GGA
Structure: relaxed

a = 7.0689 Å, b = 7.0689 Å, c = 7.0689 Å
α = 135.05°, β = 110.91°, γ = 86.30°
Closest atoms and distances in Å follow each position.
Fractional coordinates of all 18 atoms:
Ce (0.4423, 0.1923, 0.2500)  5 Co 2.55-2.66
Ce (0.5577, 0.8077, 0.7500)  5 Co 2.55-2.66
Co (0.1160, 0.3674, 0.2323)  1 B 1.90
Co (0.1160, 0.8837, 0.7486)  1 B 1.90
Co (0.1841, 0.9341, 0.2500)  2 Si 2.33, 4 Co 2.41
Co (0.2452, 0.4952, 0.7500)  2 B 2.00
Co (0.3649, 0.1163, 0.7323)  1 B 1.90
Co (0.3649, 0.6326, 0.2486)  1 B 1.90
Co (0.6351, 0.3674, 0.7514)  1 B 1.90
Co (0.6351, 0.8837, 0.2677)  1 B 1.90
Co (0.7548, 0.5048, 0.2500)  2 B 2.00
Co (0.8159, 0.0659, 0.7500)  2 Si 2.33, 4 Co 2.41
Co (0.8840, 0.1163, 0.2514)  1 B 1.90
Co (0.8840, 0.6326, 0.7677)  1 B 1.90
Si (0.0000, 0.0000, 0.5000)  6 Co 2.32-2.33
Si (0.0000, 0.5000, 0.0000)  6 Co 2.32-2.33
B (0.0000, 0.5000, 0.5000)  6 Co 1.90-2.00
B (0.5000, 0.5000, 0.0000)  6 Co 1.90-2.00

Summary:
Density = 7.92 g/cm³
Space-group type = Imma
ΔE_f (raw) = 18 meV per atom
Volume = 12.41 Å³ per atom
Total magnetic moment = 8.1 μB/cell

***

Compound: Ce2Co5SiB2
Source: Alexandria via LeMat-Bulk
Functional: PBE-GGA
Structure: relaxed

a = 8.9620 Å, b = 8.9620 Å, c = 3.0955 Å
α = 90.00°, β = 90.00°, γ = 90.00°
Closest atoms and distances in Å follow each position.
Fractional coordinates of all 20 atoms:
Ce (0.1795, 0.3205, 0.0000)  3 B 2.59-2.71, 10 Co 2.75-2.84
Ce (0.3205, 0.8205, 0.0000)  3 B 2.59-2.71, 10 Co 2.75-2.84
Ce (0.6795, 0.1795, 0.0000)  3 B 2.59-2.71, 10 Co 2.75-2.84
Ce (0.8205, 0.6795, 0.0000)  3 B 2.59-2.71, 10 Co 2.75-2.84
Co (0.0000, 0.5000, 0.5000)  4 B 2.14
Co (0.0682, 0.7759, 0.5000)  2 B 2.15
Co (0.2241, 0.0682, 0.5000)  2 B 2.15
Co (0.2759, 0.5682, 0.5000)  2 B 2.15
Co (0.4318, 0.2759, 0.5000)  2 B 2.15
Co (0.5000, 0.0000, 0.5000)  4 B 2.14
Co (0.5682, 0.7241, 0.5000)  2 B 2.15
Co (0.7241, 0.4318, 0.5000)  2 B 2.15
Co (0.7759, 0.9318, 0.5000)  2 B 2.15
Co (0.9318, 0.2241, 0.5000)  2 B 2.15
Si (0.0000, 0.0000, 0.0000)  8 Co 2.61
Si (0.5000, 0.5000, 0.0000)  8 Co 2.61
B (0.1165, 0.6165, 0.0000)  6 Co 2.14-2.15
B (0.3835, 0.1165, 0.0000)  6 Co 2.14-2.15
B (0.6165, 0.8835, 0.0000)  6 Co 2.14-2.15
B (0.8835, 0.3835, 0.0000)  6 Co 2.14-2.15

Summary:
Density = 8.34 g/cm³
Space-group type = P4/mbm
ΔE_f (raw) = -373 meV per atom
Volume = 12.43 Å³ per atom
Total magnetic moment = 0.0 μB/cell

***

Compound: Ce3Co29Si4B10
Source: Alexandria via LeMat-Bulk
Functional: PBE-GGA
Structure: relaxed

a = 11.1278 Å, b = 11.1278 Å, c = 7.8163 Å
α = 90.00°, β = 90.00°, γ = 90.00°
Closest atoms and distances in Å follow each position.
Fractional coordinates of all 92 atoms:
Ce (0.0000, 0.0000, 0.0000)  10 Co 2.87-2.95, 4 Si 3.20
Ce (0.0000, 0.5000, 0.0000)  10 Co 2.87-2.95, 4 Si 3.20
Ce (0.2500, 0.7500, 0.5000)  16 Co 2.94-3.28, 4 Si 3.24
Ce (0.5000, 0.0000, 0.0000)  10 Co 2.87-2.95, 4 Si 3.20
Ce (0.5000, 0.5000, 0.0000)  10 Co 2.87-2.95, 4 Si 3.20
Ce (0.7500, 0.2500, 0.5000)  16 Co 2.94-3.28, 4 Si 3.24
Co (0.0229, 0.2500, 0.4754)  3 B 2.09-2.13
Co (0.0761, 0.5883, 0.3356)  3 B 2.05-2.12
Co (0.0761, 0.9117, 0.3356)  3 B 2.05-2.12
Co (0.0851, 0.2500, 0.9734)  3 B 2.06-2.12
Co (0.0883, 0.5761, 0.6644)  3 B 2.05-2.12
Co (0.0883, 0.9239, 0.6644)  3 B 2.05-2.12
Co (0.1339, 0.1339, 0.2500)  2 B 2.14
Co (0.1339, 0.3661, 0.2500)  2 B 2.14
Co (0.1403, 0.1403, 0.6996)  4 B 2.06-2.11
Co (0.1403, 0.3597, 0.6996)  4 B 2.06-2.11
Co (0.1403, 0.7500, 0.1110)  1 B 1.90
Co (0.2500, 0.0229, 0.4754)  3 B 2.09-2.13
Co (0.2500, 0.0851, 0.9734)  3 B 2.06-2.12
Co (0.2500, 0.2500, 0.4675)  12 Co 2.50-2.53
Co (0.2500, 0.4149, 0.9734)  3 B 2.06-2.12
Co (0.2500, 0.4771, 0.4754)  3 B 2.09-2.13
Co (0.2500, 0.6403, 0.8890)  1 B 1.90
Co (0.2500, 0.8597, 0.8890)  1 B 1.90
Co (0.3597, 0.1403, 0.6996)  4 B 2.06-2.11
Co (0.3597, 0.3597, 0.6996)  4 B 2.06-2.11
Co (0.3597, 0.7500, 0.1110)  1 B 1.90
Co (0.3661, 0.1339, 0.2500)  2 B 2.14
Co (0.3661, 0.3661, 0.2500)  2 B 2.14
Co (0.4117, 0.5761, 0.6644)  3 B 2.05-2.12
Co (0.4117, 0.9239, 0.6644)  3 B 2.05-2.12
Co (0.4149, 0.2500, 0.9734)  3 B 2.06-2.12
Co (0.4239, 0.5883, 0.3356)  3 B 2.05-2.12
Co (0.4239, 0.9117, 0.3356)  3 B 2.05-2.12
Co (0.4771, 0.2500, 0.4754)  3 B 2.09-2.13
Co (0.5229, 0.7500, 0.5246)  3 B 2.09-2.13
Co (0.5761, 0.0883, 0.6644)  3 B 2.05-2.12
Co (0.5761, 0.4117, 0.6644)  3 B 2.05-2.12
Co (0.5851, 0.7500, 0.0266)  3 B 2.06-2.12
Co (0.5883, 0.0761, 0.3356)  3 B 2.05-2.12
Co (0.5883, 0.4239, 0.3356)  3 B 2.05-2.12
Co (0.6339, 0.6339, 0.7500)  2 B 2.14
Co (0.6339, 0.8661, 0.7500)  2 B 2.14
Co (0.6403, 0.2500, 0.8890)  1 B 1.90
Co (0.6403, 0.6403, 0.3004)  4 B 2.06-2.11
Co (0.6403, 0.8597, 0.3004)  4 B 2.06-2.11
Co (0.7500, 0.1403, 0.1110)  1 B 1.90
Co (0.7500, 0.3597, 0.1110)  1 B 1.90
Co (0.7500, 0.5229, 0.5246)  3 B 2.09-2.13
Co (0.7500, 0.5851, 0.0266)  3 B 2.06-2.12
Co (0.7500, 0.7500, 0.5325)  12 Co 2.50-2.53
Co (0.7500, 0.9149, 0.0266)  3 B 2.06-2.12
Co (0.7500, 0.9771, 0.5246)  3 B 2.09-2.13
Co (0.8597, 0.2500, 0.8890)  1 B 1.90
Co (0.8597, 0.6403, 0.3004)  4 B 2.06-2.11
Co (0.8597, 0.8597, 0.3004)  4 B 2.06-2.11
Co (0.8661, 0.6339, 0.7500)  2 B 2.14
Co (0.8661, 0.8661, 0.7500)  2 B 2.14
Co (0.9117, 0.0761, 0.3356)  3 B 2.05-2.12
Co (0.9117, 0.4239, 0.3356)  3 B 2.05-2.12
Co (0.9149, 0.7500, 0.0266)  3 B 2.06-2.12
Co (0.9239, 0.0883, 0.6644)  3 B 2.05-2.12
Co (0.9239, 0.4117, 0.6644)  3 B 2.05-2.12
Co (0.9771, 0.7500, 0.5246)  3 B 2.09-2.13
Si (0.0694, 0.7500, 0.8249)  7 Co 2.32-2.56
Si (0.2500, 0.5694, 0.1751)  7 Co 2.32-2.56
Si (0.2500, 0.9306, 0.1751)  7 Co 2.32-2.56
Si (0.4306, 0.7500, 0.8249)  7 Co 2.32-2.56
Si (0.5694, 0.2500, 0.1751)  7 Co 2.32-2.56
Si (0.7500, 0.0694, 0.8249)  7 Co 2.32-2.56
Si (0.7500, 0.4306, 0.8249)  7 Co 2.32-2.56
Si (0.9306, 0.2500, 0.1751)  7 Co 2.32-2.56
B (0.0062, 0.7500, 0.2609)  7 Co 1.90-2.09
B (0.0635, 0.0635, 0.4835)  1 B 2.01, 8 Co 2.05-2.14
B (0.0635, 0.4365, 0.4835)  1 B 2.01, 8 Co 2.05-2.14
B (0.2500, 0.2500, 0.1085)  1 B 1.99, 8 Co 2.12-2.14
B (0.2500, 0.2500, 0.8542)  1 B 1.99, 8 Co 2.06-2.11
B (0.2500, 0.5062, 0.7391)  7 Co 1.90-2.09
B (0.2500, 0.9938, 0.7391)  7 Co 1.90-2.09
B (0.4365, 0.0635, 0.4835)  1 B 2.01, 8 Co 2.05-2.14
B (0.4365, 0.4365, 0.4835)  1 B 2.01, 8 Co 2.05-2.14
B (0.4938, 0.7500, 0.2609)  7 Co 1.90-2.09
B (0.5062, 0.2500, 0.7391)  7 Co 1.90-2.09
B (0.5635, 0.5635, 0.5165)  1 B 2.01, 8 Co 2.05-2.14
B (0.5635, 0.9365, 0.5165)  1 B 2.01, 8 Co 2.05-2.14
B (0.7500, 0.0062, 0.2609)  7 Co 1.90-2.09
B (0.7500, 0.4938, 0.2609)  7 Co 1.90-2.09
B (0.7500, 0.7500, 0.1458)  1 B 1.99, 8 Co 2.06-2.11
B (0.7500, 0.7500, 0.8915)  1 B 1.99, 8 Co 2.12-2.14
B (0.9365, 0.5635, 0.5165)  1 B 2.01, 8 Co 2.05-2.14
B (0.9365, 0.9365, 0.5165)  1 B 2.01, 8 Co 2.05-2.14
B (0.9938, 0.2500, 0.7391)  7 Co 1.90-2.09

Summary:
Density = 8.06 g/cm³
Space-group type = P4/nmm
ΔE_f (raw) = -436 meV per atom
Volume = 10.52 Å³ per atom
Total magnetic moment = 30.8 μB/cell